[1]
Computed, not measured: HfThCo2P2 after structural relaxation at the GGA-PBE level of DFT.

Its density of states at the Fermi level is 0.465 states/eV per atom. The value obtained for the theoretical density is 10.1 g/cm3. The spin magnetization is 0.0000 μB per atom.

The space group is P-3m1 (No. 164) and the conventional cell measures 3.8706, 3.8706 and 7.4574 Å, with angles of 90.00, 90.00 and 120.00 degrees. The distinct sites, in fractional coordinates, are Hf at (0.0000, 0.0000, 0.0000), Th at (0.0000, 0.0000, 0.5000), Co at (0.3333, 0.6667, 0.2262) and P at (0.3333, 0.6667, 0.7751).

=====

[2]
Computed, not measured: Hf2PaCo after structural relaxation at the GGA-PBE level of DFT.

Its density of states at the Fermi level is 1.293 states/eV per atom. The value obtained for the theoretical density is 13.2 g/cm3. The spin magnetization is 0.0000 μB per atom.

The space group is R-3m (No. 166, hexagonal axes) and the conventional cell measures 3.0953, 3.0953 and 29.4769 Å, with angles of 90.00, 90.00 and 120.00 degrees. The distinct sites, in fractional coordinates, are Hf at (0.0000, 0.0000, 0.1021), Pa at (0.0000, 0.0000, 0.0000) and Co at (0.0000, 0.0000, 0.5000).

=====

[3]
Computed, not measured: Hf2PaCo9 after structural relaxation at the GGA-PBE level of DFT.

Its density of states at the Fermi level is 1.511 states/eV per atom. The value obtained for the theoretical density is 11.5 g/cm3. The spin magnetization is 0.6234 μB per atom.

The space group is R-3m (No. 166, hexagonal axes) and the conventional cell measures 4.8291, 4.8291 and 23.9450 Å, with angles of 90.00, 90.00 and 120.00 degrees. The distinct sites, in fractional coordinates, are Hf at (0.0000, 0.0000, 0.1402), Pa at (0.0000, 0.0000, 0.0000), Co at (0.0000, 0.0000, 0.3351), Co at (0.0000, 0.0000, 0.5000) and Co at (0.0052, 0.5026, 0.9150).

=====

[4]
Computed, not measured: Hf5PaCo2 after structural relaxation at the GGA-PBE level of DFT.

Its density of states at the Fermi level is 1.211 states/eV per atom. The value obtained for the theoretical density is 13.0 g/cm3. The spin magnetization is 0.0000 μB per atom.

The space group is Cmcm (No. 63) and the conventional cell measures 3.322, 11.102 and 17.252 Å, with angles of 90.00, 90.00 and 90.00 degrees. The distinct sites, in fractional coordinates, are Hf at (0.000, 0.072, 0.111), Hf at (0.000, 0.352, 0.750), Hf at (0.000, 0.361, 0.033), Pa at (0.000, 0.384, 0.250) and Co at (0.000, 0.207, 0.636).

=====

Respective E_form values: -1060 251 -306 -60 meV/atom.